4
Lattice="-2.223 2.365 0.311 -3.103 -0.559 -0.831 -3.790 -2.561 9.473" Properties=species:S:1:pos:R:3 comment="Hf2UPb | Alexandria via LeMat-Bulk | GGA-PBE | optimized geometry" sg="R-3m, No. 166" formation_energy_mev_per_atom=226.0 vol_a3_per_atom=23.82 dos_ef_per_ev_cell=7.0 magnetic_moment_mub_per_fu=1.74 de_polymorph_mev_per_atom=41 e_tot_ev_per_fu=-34.00 pbc="T T T"
Pb -4.558 -0.378 4.476
Hf -2.275 -0.183 2.221
Hf -6.840 -0.572 6.732
U 0.000 0.000 0.000